Material: DyIn4Pt4
Method: DFT, GGA-PBE
State: relaxed

Properties
DFT total energy   -5.126 eV per atom
Theoretical density   12.7 g cm⁻³

Unit cell a=4.5925 b=4.5925 c=20.0678 alpha=90.00 beta=90.00 gamma=120.00
Space group P6_3/mmc (No. 194)
One atom of each set of equivalent atoms:
Dy: 0.3333 0.6667 0.2500 x2
In: 0.0000 0.0000 0.1422 x4
In: 0.3333 0.6667 0.5416 x4
Pt: 0.3333 0.6667 0.0953 x4
Pt: 0.3333 0.6667 0.6808 x4

Material: DySc2In3Pt2
Method: DFT, GGA-PBE
State: relaxed

Properties
DFT total energy   -5.544 eV per atom
Theoretical density   9.5 g cm⁻³

Unit cell a=3.455 b=13.158 c=7.571 alpha=90.00 beta=90.00 gamma=90.00
Space group Amm2 (No. 38)
One atom of each set of equivalent atoms:
Dy: 0.000 0.000 0.000 x2
Sc: 0.000 0.211 0.368 x4
In: 0.500 0.000 0.351 x2
In: 0.500 0.119 0.694 x4
Pt: 0.500 0.172 0.082 x4

Material: DyScIn2Pt4
Method: DFT, GGA-PBE
State: relaxed

Properties
DFT total energy   -6.002 eV per atom
Theoretical density   12.8 g cm⁻³

Unit cell a=4.5408 b=4.5408 c=8.8309 alpha=90.00 beta=90.00 gamma=120.00
Space group P-6m2 (No. 187)
One atom of each set of equivalent atoms:
Dy: 0.0000 0.0000 0.0000 x1
Sc: 0.3333 0.6667 0.5000 x1
In: 0.6667 0.3333 0.2582 x2
Pt: 0.0000 0.0000 0.3457 x2
Pt: 0.3333 0.6667 0.1628 x2

Material: SmDyIn2Pt4
Method: DFT, GGA-PBE
State: relaxed

Properties
DFT total energy   -5.829 eV per atom
Theoretical density   13.2 g cm⁻³

Unit cell a=4.6017 b=4.6017 c=9.1073 alpha=90.00 beta=90.00 gamma=120.00
Space group P-6m2 (No. 187)
One atom of each set of equivalent atoms:
Sm: 0.0000 0.0000 0.0000 x1
Dy: 0.6667 0.3333 0.5000 x1
In: 0.3333 0.6667 0.2527 x2
Pt: 0.0000 0.0000 0.3434 x2
Pt: 0.6667 0.3333 0.1622 x2

Material: Dy3InSn2Pt3
Method: DFT, GGA-PBE
State: relaxed

Properties
DFT total energy   -5.816 eV per atom
Theoretical density   12.1 g cm⁻³

Unit cell a=3.879 b=13.249 c=7.637 alpha=90.00 beta=90.00 gamma=90.00
Space group Amm2 (No. 38)
One atom of each set of equivalent atoms:
Dy: 0.000 0.000 0.000 x2
Dy: 0.000 0.201 0.387 x4
In: 0.500 0.000 0.329 x2
Sn: 0.500 0.131 0.721 x4
Pt: 0.000 0.000 0.597 x2
Pt: 0.500 0.167 0.090 x4

Material: TbDyIn4Pt2
Method: DFT, GGA-PBE
State: relaxed

Properties
DFT total energy   -4.776 eV per atom
Theoretical density   10.9 g cm⁻³

Unit cell a=7.735 b=4.403 c=10.445 alpha=90.00 beta=90.00 gamma=90.00
Space group Amm2 (No. 38)
One atom of each set of equivalent atoms:
Tb: 0.000 0.000 0.000 x2
Dy: 0.500 0.000 0.856 x2
In: 0.200 0.000 0.291 x4
In: 0.300 0.000 0.566 x4
Pt: 0.000 0.000 0.711 x2
Pt: 0.500 0.000 0.145 x2

Material: TbDy2In3Pt2
Method: DFT, GGA-PBE
State: relaxed

Properties
DFT total energy   -5.153 eV per atom
Theoretical density   10.8 g cm⁻³

Unit cell a=3.620 b=13.380 c=7.721 alpha=90.00 beta=90.00 gamma=90.00
Space group Amm2 (No. 38)
One atom of each set of equivalent atoms:
Tb: 0.000 0.000 0.000 x2
Dy: 0.000 0.211 0.368 x4
In: 0.500 0.000 0.349 x2
In: 0.500 0.115 0.694 x4
Pt: 0.500 0.167 0.079 x4

Material: Tb2DyIn3Pt2
Method: DFT, GGA-PBE
State: relaxed

Properties
DFT total energy   -5.155 eV per atom
Theoretical density   10.7 g cm⁻³

Unit cell a=3.644 b=13.364 c=7.723 alpha=90.00 beta=90.00 gamma=90.00
Space group Amm2 (No. 38)
One atom of each set of equivalent atoms:
Tb: 0.000 0.210 0.000 x4
Dy: 0.000 0.000 0.631 x2
In: 0.500 0.000 0.980 x2
In: 0.500 0.115 0.326 x4
Pt: 0.500 0.166 0.710 x4